DFT (PBE) results for a geometry-optimized PdSeSN2 structure.

## Properties
Final energy   -21.69 eV per cell
Energy relative to the elements, uncorrected   1.554 eV per atom
Space-group type   P4/mmm (123)
Volume   80 Å³/cell
Relative energy among the computed polymorphs   0.2086 eV per atom
Magnetization   0.101 μB/atom

Cell lengths 3.6066, 3.6066, 6.1482 Å; angles 90.00, 90.00, 90.00 degrees
Fractional coordinates of all 5 atoms:
S: 0.0000 0.0000 0.5000
Se: 0.0000 0.0000 0.0000
Pd: 0.5000 0.5000 0.5000
N: 0.0000 0.5000 0.0000
N: 0.5000 0.0000 0.0000